[1]
This record from Alexandria via LeMat-Bulk describes a relaxed Tb8ErTm4 crystal. The functional is PBE.

a = 7.1833 Å, b = 7.1833 Å, c = 27.5907 Å
α = 90.00°, β = 90.00°, γ = 120.00°
Space group R-3m (No. 166, hexagonal axes)
Inequivalent atoms, fractional coordinates:
Tb (0.0000, 0.0000, 0.2142) (multiplicity 6)
Tb (0.0322, 0.5161, 0.7653) (multiplicity 18)
Er (0.0000, 0.0000, 0.5000) (multiplicity 3)
Tm (0.0000, 0.0000, 0.0000) (multiplicity 3)
Tm (0.0000, 0.5000, 0.0000) (multiplicity 9)

Calculated formation energy: 0.22 eV/atom

[2]
This record from Alexandria via LeMat-Bulk describes a relaxed HfMnAsBr2 crystal. The functional is PBE.

a = 4.821 Å, b = 4.821 Å, c = 5.210 Å
α = 90.00°, β = 90.00°, γ = 90.00°
Space group P4/mmm (No. 123)
Inequivalent atoms, fractional coordinates:
Hf (0.000, 0.000, 0.000) (multiplicity 1)
Mn (0.500, 0.500, 0.500) (multiplicity 1)
As (0.500, 0.500, 0.000) (multiplicity 1)
Br (0.000, 0.500, 0.500) (multiplicity 2)

Energy relative to the elements, uncorrected: 0.40 eV/atom
Energy above the lowest structure with this stoichiometry: 0.3847 eV per atom

[3]
This record from Alexandria via LeMat-Bulk describes a relaxed CrTc2Sn crystal. The functional is PBE.

a = 3.080 Å, b = 3.080 Å, c = 6.426 Å
α = 90.00°, β = 90.00°, γ = 90.00°
Space group P4/mmm (No. 123)
Inequivalent atoms, fractional coordinates:
Cr (0.000, 0.000, 0.000) (multiplicity 1)
Tc (0.500, 0.500, 0.226) (multiplicity 2)
Sn (0.000, 0.000, 0.500) (multiplicity 1)

Calculated formation energy: 0.16 eV/atom

[4]
This record from Alexandria via LeMat-Bulk describes a relaxed K2TlHg2 crystal. The functional is PBE.

a = 5.352 Å, b = 5.352 Å, c = 14.110 Å
α = 90.00°, β = 90.00°, γ = 90.00°
Space group I4/mmm (No. 139)
Inequivalent atoms, fractional coordinates:
K (0.000, 0.500, 0.250) (multiplicity 4)
Tl (0.000, 0.000, 0.000) (multiplicity 2)
Hg (0.000, 0.000, 0.399) (multiplicity 4)

Energy above the lowest structure with this stoichiometry: 0.2209 eV per atom
Calculated formation energy: 0.01 eV/atom

It is found that the mass density values, taken in the order of the records, are 8.5 6.4 10.0 5.6 g/cm3.